DFT (PBE-GGA) results for a relaxed structure of Ca2Ga3SnPd4.

DOS(E_F) ... 3.41 states/eV per cell
Energy of formation from the pure elements ... -0.71 eV per atom
M_tot ... 0.00 μB/f.u.
Final energy ... -4.499 eV/atom

Lattice parameters (Å, degrees): 4.4169 4.4169 10.3749 90.00 90.00 90.00
Space group P-4m2 (No. 115)
One atom of each set of equivalent atoms:
Ca1 0.0000 0.5000 0.2392
Ga1 0.0000 0.5000 0.8812
Ga2 0.5000 0.5000 0.5000
Sn1 0.0000 0.0000 0.5000
Pd1 0.0000 0.0000 0.0000
Pd2 0.0000 0.5000 0.6432
Pd3 0.5000 0.5000 0.0000